Entry 1:
An optimized crystal structure of InRuS3, computed with GGA-PBE.

Results
* space group: Pm-3m (221)

Lattice parameters (Å, degrees): 4.682 4.682 4.682 90.00 90.00 90.00
Element x y z (fractional)
S1 0.500 0.000 0.000
Ru1 0.000 0.000 0.000
S2 0.000 0.500 0.000
S3 0.000 0.000 0.500
In1 0.500 0.500 0.500

Entry 2:
An optimized crystal structure of BaAgO3, computed with GGA-PBE.

Results
* space group: C2/c (15)

Lattice parameters (Å, degrees): 11.769 7.714 7.714 88.43 127.60 52.40
Element x y z (fractional)
O1 0.075 0.930 0.896
Ag1 0.750 0.162 0.662
Ba1 0.309 0.911 0.884
Ba2 0.191 0.384 0.411
O2 0.970 0.709 0.907
O3 0.030 0.291 0.093
Ag2 0.250 0.526 0.026
O4 0.583 0.865 0.860
O5 0.530 0.407 0.209
O6 0.470 0.593 0.791
O7 0.925 0.070 0.104
O8 0.917 0.360 0.365
O9 0.417 0.135 0.140
O10 0.575 0.604 0.570
Ag3 0.750 0.474 0.974
Ba3 0.691 0.089 0.116
Ag4 0.250 0.838 0.338
O11 0.425 0.396 0.430
O12 0.083 0.640 0.635
Ba4 0.809 0.616 0.589

What did we get for energy relative to the elements, uncorrected? Answer: 0.1738 -0.8440 eV per atom, in the order shown.
What did we get for DOS at the Fermi energy? Answer: 7.1 0.2 states/eV/f.u., in the order shown.